CrIn2Fe | GGA-PBE | optimized geometry

a = 3.1323 Å, b = 3.1323 Å, c = 25.9066 Å
α = 90.00°, β = 90.00°, γ = 120.00°
With the nearest neighbours (Å) after each atom.
Space group R3m (No. 160, hexagonal axes)
Symmetry-distinct sites (fractional):
1 Cr 0.0000 0.0000 0.0000  3 Fe 2.30
2 In 0.0000 0.0000 0.2449  3 Cr 2.92, 9 In 3.13-3.24
3 In 0.0000 0.0000 0.4743  3 Fe 2.87, 6 In 3.13
4 Fe 0.0000 0.0000 0.7217  3 Cr 2.30

The formation enthalpy at 0 K is 1.762 eV/f.u. The calculation puts the energy above the most stable polymorph in this dataset at 15.39 kJ/mol of atoms. As for the crystal system: trigonal. Its density of states at the Fermi level is 9.387 states/eV per cell.